First-principles (PBE-GGA) data for a relaxed structure of KSI2O, as listed in the Alexandria database.

Lattice parameters (Å, degrees): 6.040 6.040 3.705 90.00 90.00 90.00
Fractional coordinates of all 5 atoms:
1 I 0.000 0.500 0.000
2 I 0.500 0.000 0.000
3 O 0.000 0.000 0.500
4 K 0.500 0.500 0.500
5 S 0.000 0.000 0.000

Values from the calculation:
Distance to the lowest polymorph of the same formula = 0 meV per atom
Total moment = 0.00 μB per cell
E_form (uncorrected) = -0.387 eV per atom